# 1
This record from Alexandria describes an optimized crystal structure of TiGaTcAu. The functional is PBE-GGA.

* electronic total energy: -26.16 eV/cell
* distance to the lowest polymorph of the same formula: 0 meV/atom
* N(E_F): 0.14 states/eV per atom
* calculated formation energy: -398 meV per atom

Unit cell a=3.256 b=3.256 c=5.937 alpha=90.00 beta=90.00 gamma=90.00
Space group P4mm (No. 99)
One atom of each set of equivalent atoms:
1 Ti 0.000 0.000 0.000 x1
2 Ga 0.000 0.000 0.460 x1
3 Tc 0.500 0.500 0.221 x1
4 Au 0.500 0.500 0.722 x1

---

# 2
This record from Alexandria describes an optimized crystal structure of TiGaTcAu. The functional is PBE-GGA.

* electronic total energy: -101.90 eV/cell
* distance to the lowest polymorph of the same formula: 170 meV/atom
* N(E_F): 0.85 states/eV per atom
* calculated formation energy: -227 meV per atom

Unit cell a=6.301 b=6.301 c=6.301 alpha=90.00 beta=90.00 gamma=90.00
Space group F-43m (No. 216)
One atom of each set of equivalent atoms:
1 Ti 0.000 0.000 0.000 x4
2 Ga 0.000 0.000 0.500 x4
3 Tc 0.250 0.250 0.750 x4
4 Au 0.250 0.250 0.250 x4